Entry 1:
# LiIn2Pb (PBE-GGA, relaxed)
# - Total DFT energy (no corrections): -2.867 eV per atom
# - Space-group type: Pmmm (47)
data_LiIn2Pb
_space_group_name_H-M_alt 'P 1'
_space_group_IT_number 1
_cell_length_a 3.469
_cell_length_b 4.516
_cell_length_c 6.571
_cell_angle_alpha 90.00
_cell_angle_beta 90.00
_cell_angle_gamma 90.00
loop_
_space_group_symop_operation_xyz
'x,y,z'
loop_
_atom_site_label
_atom_site_type_symbol
_atom_site_fract_x
_atom_site_fract_y
_atom_site_fract_z
Pb1 Pb 0.500 0.500 0.750
Li1 Li 0.500 0.500 0.250
In1 In 0.000 0.000 0.017
In2 In 0.000 0.000 0.483

Entry 2:
# LiIn2Pb2 (PBE-GGA, relaxed)
# - Total DFT energy (no corrections): -2.912 eV per atom
# - E above lowest polymorph: 2.670 kcal/mol of atoms
# - Space-group type: I4/mmm (139)
data_LiIn2Pb2
_space_group_name_H-M_alt 'P 1'
_space_group_IT_number 1
_cell_length_a 4.299
_cell_length_b 4.299
_cell_length_c 8.659
_cell_angle_alpha 75.63
_cell_angle_beta 75.63
_cell_angle_gamma 90.00
loop_
_space_group_symop_operation_xyz
'x,y,z'
loop_
_atom_site_label
_atom_site_type_symbol
_atom_site_fract_x
_atom_site_fract_y
_atom_site_fract_z
Pb1 Pb 0.400 0.400 0.201
Pb2 Pb 0.600 0.600 0.799
Li1 Li 0.000 0.000 0.000
In1 In 0.750 0.250 0.500
In2 In 0.250 0.750 0.500

Entry 3:
# Li6In12Pb (PBE-GGA, relaxed)
# - Total DFT energy (no corrections): -2.660 eV per atom
# - E above lowest polymorph: 0.000 kcal/mol of atoms
# - Space-group type: R-3 (148)
data_Li6In12Pb
_space_group_name_H-M_alt 'P 1'
_space_group_IT_number 1
_cell_length_a 7.666
_cell_length_b 7.666
_cell_length_c 7.666
_cell_angle_alpha 87.35
_cell_angle_beta 87.35
_cell_angle_gamma 87.35
loop_
_space_group_symop_operation_xyz
'x,y,z'
loop_
_atom_site_label
_atom_site_type_symbol
_atom_site_fract_x
_atom_site_fract_y
_atom_site_fract_z
Li1 Li 0.264 0.108 0.720
Li2 Li 0.892 0.280 0.736
Li3 Li 0.280 0.736 0.892
Li4 Li 0.736 0.892 0.280
Li5 Li 0.108 0.720 0.264
Li6 Li 0.720 0.264 0.108
In1 In 0.568 0.206 0.463
In2 In 0.206 0.463 0.568
In3 In 0.463 0.568 0.206
In4 In 0.432 0.794 0.537
In5 In 0.794 0.537 0.432
In6 In 0.537 0.432 0.794
In7 In 0.976 0.835 0.619
In8 In 0.381 0.024 0.165
In9 In 0.165 0.381 0.024
In10 In 0.024 0.165 0.381
In11 In 0.619 0.976 0.835
In12 In 0.835 0.619 0.976
Pb1 Pb 0.000 0.000 0.000

Entry 4:
# LiIn2Pb (PBE-GGA, relaxed)
# - Total DFT energy (no corrections): -2.886 eV per atom
# - Space-group type: P2_1/m (11)
data_LiIn2Pb
_space_group_name_H-M_alt 'P 1'
_space_group_IT_number 1
_cell_length_a 5.511
_cell_length_b 6.583
_cell_length_c 6.265
_cell_angle_alpha 116.60
_cell_angle_beta 90.00
_cell_angle_gamma 90.00
loop_
_space_group_symop_operation_xyz
'x,y,z'
loop_
_atom_site_label
_atom_site_type_symbol
_atom_site_fract_x
_atom_site_fract_y
_atom_site_fract_z
Li1 Li 0.250 0.335 0.658
Li2 Li 0.750 0.665 0.342
In1 In 0.250 0.843 0.674
In2 In 0.750 0.157 0.326
In3 In 0.250 0.857 0.186
In4 In 0.750 0.143 0.814
Pb1 Pb 0.250 0.348 0.163
Pb2 Pb 0.750 0.652 0.837

Entry 5:
# LiIn2Pb (PBE-GGA, relaxed)
# - Total DFT energy (no corrections): -2.867 eV per atom
# - Space-group type: Cmmm (65)
data_LiIn2Pb
_space_group_name_H-M_alt 'P 1'
_space_group_IT_number 1
_cell_length_a 5.672
_cell_length_b 5.672
_cell_length_c 3.468
_cell_angle_alpha 90.00
_cell_angle_beta 90.00
_cell_angle_gamma 112.54
loop_
_space_group_symop_operation_xyz
'x,y,z'
loop_
_atom_site_label
_atom_site_type_symbol
_atom_site_fract_x
_atom_site_fract_y
_atom_site_fract_z
Pb1 Pb 0.000 0.500 0.500
Li1 Li 0.500 0.000 0.500
In1 In 0.000 0.000 0.000
In2 In 0.500 0.500 0.000

Entry 6:
# Li2In7Pb2 (PBE-GGA, relaxed)
# - Total DFT energy (no corrections): -2.799 eV per atom
# - Space-group type: C2/m (12)
data_Li2In7Pb2
_space_group_name_H-M_alt 'P 1'
_space_group_IT_number 1
_cell_length_a 5.804
_cell_length_b 7.455
_cell_length_c 7.455
_cell_angle_alpha 99.43
_cell_angle_beta 105.34
_cell_angle_gamma 105.34
loop_
_space_group_symop_operation_xyz
'x,y,z'
loop_
_atom_site_label
_atom_site_type_symbol
_atom_site_fract_x
_atom_site_fract_y
_atom_site_fract_z
Li1 Li 0.000 0.255 0.745
Li2 Li 0.000 0.745 0.255
In1 In 0.672 0.924 0.414
In2 In 0.328 0.586 0.076
In3 In 0.328 0.076 0.586
In4 In 0.672 0.414 0.924
In5 In 0.500 0.000 0.000
In6 In 0.294 0.596 0.596
In7 In 0.706 0.404 0.404
Pb1 Pb 0.094 0.195 0.195
Pb2 Pb 0.906 0.805 0.805

Entry 7:
# Li3In5Pb (PBE-GGA, relaxed)
# - Total DFT energy (no corrections): -2.712 eV per atom
# - Space-group type: P6_3/mcm (193)
data_Li3In5Pb
_space_group_name_H-M_alt 'P 1'
_space_group_IT_number 1
_cell_length_a 6.491
_cell_length_b 8.709
_cell_length_c 8.709
_cell_angle_alpha 120.01
_cell_angle_beta 90.00
_cell_angle_gamma 90.00
loop_
_space_group_symop_operation_xyz
'x,y,z'
loop_
_atom_site_label
_atom_site_type_symbol
_atom_site_fract_x
_atom_site_fract_y
_atom_site_fract_z
Li1 Li 0.750 0.328 0.328
Li2 Li 0.750 0.000 0.672
Li3 Li 0.750 0.672 0.000
Li4 Li 0.250 0.672 0.672
Li5 Li 0.250 0.000 0.328
Li6 Li 0.250 0.328 0.000
In1 In 0.000 0.667 0.333
In2 In 0.500 0.333 0.667
In3 In 0.000 0.333 0.667
In4 In 0.500 0.667 0.333
In5 In 0.750 0.658 0.658
In6 In 0.750 0.000 0.342
In7 In 0.750 0.342 0.000
In8 In 0.250 0.342 0.342
In9 In 0.250 0.000 0.658
In10 In 0.250 0.658 0.000
Pb1 Pb 0.000 0.000 0.000
Pb2 Pb 0.500 0.000 0.000

Entry 8:
# LiIn4Pb5 (PBE-GGA, relaxed)
# - Total DFT energy (no corrections): -3.099 eV per atom
# - E above lowest polymorph: 1.359 kcal/mol of atoms
# - Space-group type: I4 (79)
data_LiIn4Pb5
_space_group_name_H-M_alt 'P 1'
_space_group_IT_number 1
_cell_length_a 5.696
_cell_length_b 7.702
_cell_length_c 7.702
_cell_angle_alpha 82.14
_cell_angle_beta 68.30
_cell_angle_gamma 68.30
loop_
_space_group_symop_operation_xyz
'x,y,z'
loop_
_atom_site_label
_atom_site_type_symbol
_atom_site_fract_x
_atom_site_fract_y
_atom_site_fract_z
Li1 Li 0.160 0.000 0.000
In1 In 0.443 0.337 0.663
In2 In 0.779 0.663 0.663
In3 In 0.105 0.337 0.337
In4 In 0.442 0.663 0.337
Pb1 Pb 0.800 0.373 0.001
Pb2 Pb 0.173 0.001 0.627
Pb3 Pb 0.801 0.999 0.373
Pb4 Pb 0.174 0.627 0.999
Pb5 Pb 0.632 0.000 0.000

Entry 9:
# Li6In2Pb3 (PBE-GGA, relaxed)
# - Total DFT energy (no corrections): -2.701 eV per atom
# - Space-group type: I4/mmm (139)
data_Li6In2Pb3
_space_group_name_H-M_alt 'P 1'
_space_group_IT_number 1
_cell_length_a 3.972
_cell_length_b 3.972
_cell_length_c 16.229
_cell_angle_alpha 97.03
_cell_angle_beta 97.03
_cell_angle_gamma 90.00
loop_
_space_group_symop_operation_xyz
'x,y,z'
loop_
_atom_site_label
_atom_site_type_symbol
_atom_site_fract_x
_atom_site_fract_y
_atom_site_fract_z
Li1 Li 0.117 0.617 0.234
Li2 Li 0.617 0.117 0.234
Li3 Li 0.883 0.383 0.766
Li4 Li 0.383 0.883 0.766
Li5 Li 0.723 0.723 0.445
Li6 Li 0.277 0.277 0.555
In1 In 0.451 0.451 0.901
In2 In 0.549 0.549 0.099
Pb1 Pb 0.000 0.000 0.000
Pb2 Pb 0.815 0.815 0.630
Pb3 Pb 0.185 0.185 0.370

Entry 10:
# Li4In4Pb5 (PBE-GGA, relaxed)
# - Total DFT energy (no corrections): -2.995 eV per atom
# - Space-group type: I4/m (87)
data_Li4In4Pb5
_space_group_name_H-M_alt 'P 1'
_space_group_IT_number 1
_cell_length_a 4.845
_cell_length_b 8.579
_cell_length_c 8.579
_cell_angle_alpha 85.43
_cell_angle_beta 73.60
_cell_angle_gamma 73.60
loop_
_space_group_symop_operation_xyz
'x,y,z'
loop_
_atom_site_label
_atom_site_type_symbol
_atom_site_fract_x
_atom_site_fract_y
_atom_site_fract_z
Li1 Li 0.769 0.358 0.105
Li2 Li 0.231 0.642 0.895
Li3 Li 0.873 0.895 0.358
Li4 Li 0.127 0.105 0.642
In1 In 0.910 0.478 0.703
In2 In 0.612 0.297 0.478
In3 In 0.090 0.522 0.297
In4 In 0.388 0.703 0.522
Pb1 Pb 0.698 0.872 0.732
Pb2 Pb 0.302 0.128 0.268
Pb3 Pb 0.000 0.000 0.000
Pb4 Pb 0.570 0.732 0.128
Pb5 Pb 0.430 0.268 0.872

| no. | V (Å³/f.u.) | E_form (eV per atom) | DOS(E_F) (states/eV/atom) |
| --- | --- | --- | --- |
| 1 | 103 | -0.0923 | 0.4347 |
| 2 | 150 | 0.0492 | 0.4892 |
| 3 | 449 | -0.1308 | 0.4529 |
| 4 | 102 | -0.1113 | 0.4030 |
| 5 | 103 | -0.0925 | 0.4314 |
| 6 | 290 | -0.0340 | 0.4659 |
| 7 | 213 | -0.1403 | 0.3637 |
| 8 | 292 | 0.0423 | 0.3679 |
| 9 | 252 | -0.1483 | 0.4906 |
| 10 | 328 | -0.1372 | 0.4023 |